DFT (PBE-GGA) results for an optimized crystal structure of TmAlAg2.

Cell: 4.794 4.794 4.794 Å, 60.00 60.00 60.00°
Fractional coordinates of all 4 atoms:
Tm 0.000 0.000 0.000
Al 0.500 0.500 0.500
Ag 0.250 0.250 0.250
Ag 0.750 0.750 0.750

## Properties
Calculated volume ... 78 Å³/cell
Uncorrected energy ... -3.805 eV/atom
Space-group type ... Fm-3m
Formation energy ... -325.5 meV/atom
Spin magnetization ... 0.0 μB per cell

=====

DFT (PBE-GGA) results for an optimized crystal structure of TmAl7Ag5.

Cell: 7.048 7.048 7.048 Å, 133.94 97.27 100.35°
Fractional coordinates of all 13 atoms:
Tm 0.000 0.000 0.000
Al 0.195 0.491 0.705
Al 0.218 0.718 0.500
Al 0.352 0.000 0.351
Al 0.355 0.355 0.000
Al 0.649 0.000 0.649
Al 0.650 0.650 0.000
Al 0.786 0.491 0.295
Ag 0.003 0.493 0.011
Ag 0.003 0.992 0.509
Ag 0.482 0.493 0.491
Ag 0.482 0.992 0.989
Ag 0.779 0.279 0.500

## Properties
Calculated volume ... 232 Å³/cell
Uncorrected energy ... -3.610 eV/atom
Space-group type ... Imm2
Formation energy ... -153.8 meV/atom
Spin magnetization ... 0.0 μB per cell